# 1
Entry from Alexandria via LeMat-Bulk: crystalline Rb2PRuCl6 at its relaxed geometry (PBE-GGA).

**Electronic total energy**: -71.5 eV for the cell shown
**Mass density**: 3.31 g/cm³
**Size of the total moment**: 1.9 Bohr magnetons per cell

CIF file:
```
data_Rb2PRuCl6
_cell_length_a 7.545
_cell_length_b 7.545
_cell_length_c 9.094
_cell_angle_alpha 90.00
_cell_angle_beta 90.00
_cell_angle_gamma 90.00
_space_group_name_H-M_alt 'I 4/m m m'
_space_group_IT_number 139
_space_group_name_Hall '-I 4 2'
loop_
_atom_site_label
_atom_site_type_symbol
_atom_site_fract_x
_atom_site_fract_y
_atom_site_fract_z
Rb1 Rb 0.000 0.500 0.250
P1 P 0.000 0.000 0.000
Ru1 Ru 0.000 0.000 0.500
Cl1 Cl 0.000 0.000 0.245
Cl2 Cl 0.230 0.230 0.500
```

# 2
Entry from Alexandria via LeMat-Bulk: crystalline RbPRuCl2 at its relaxed geometry (PBE-GGA).

**Distance to the lowest polymorph of the same formula**: 8.93 eV/f.u.
**Electronic total energy**: -13.0 eV for the cell shown
**Mass density**: 2.16 g/cm³
**Size of the total moment**: 6.0 Bohr magnetons per cell

CIF file:
```
data_RbPRuCl2
_cell_length_a 6.005
_cell_length_b 6.005
_cell_length_c 6.137
_cell_angle_alpha 90.00
_cell_angle_beta 90.00
_cell_angle_gamma 90.00
_space_group_name_H-M_alt 'P 4/m m m'
_space_group_IT_number 123
_space_group_name_Hall '-P 4 2'
loop_
_atom_site_label
_atom_site_type_symbol
_atom_site_fract_x
_atom_site_fract_y
_atom_site_fract_z
Rb1 Rb 0.000 0.000 0.000
P1 P 0.000 0.000 0.500
Ru1 Ru 0.500 0.500 0.500
Cl1 Cl 0.000 0.500 0.000
```

# 3
Entry from Alexandria via LeMat-Bulk: crystalline RbPS2Cl at its relaxed geometry (PBE-GGA).

**Distance to the lowest polymorph of the same formula**: 5.23 eV/f.u.
**Electronic total energy**: -13.3 eV for the cell shown
**Mass density**: 2.75 g/cm³
**Size of the total moment**: 2.3 Bohr magnetons per cell

CIF file:
```
data_RbPS2Cl
_cell_length_a 5.213
_cell_length_b 5.213
_cell_length_c 4.793
_cell_angle_alpha 90.00
_cell_angle_beta 90.00
_cell_angle_gamma 90.00
_space_group_name_H-M_alt 'P 4/m m m'
_space_group_IT_number 123
_space_group_name_Hall '-P 4 2'
loop_
_atom_site_label
_atom_site_type_symbol
_atom_site_fract_x
_atom_site_fract_y
_atom_site_fract_z
Rb1 Rb 0.000 0.000 0.000
P1 P 0.500 0.500 0.000
S1 S 0.000 0.500 0.500
Cl1 Cl 0.500 0.500 0.500
```

# 4
Entry from Alexandria via LeMat-Bulk: crystalline RbPS2Cl at its relaxed geometry (PBE-GGA).

**Distance to the lowest polymorph of the same formula**: 0.00 eV/f.u.
**Electronic total energy**: -18.5 eV for the cell shown
**Mass density**: 3.08 g/cm³
**Size of the total moment**: 0.0 Bohr magnetons per cell

CIF file:
```
data_RbPS2Cl
_cell_length_a 4.575
_cell_length_b 4.575
_cell_length_c 5.563
_cell_angle_alpha 90.00
_cell_angle_beta 90.00
_cell_angle_gamma 90.00
_space_group_name_H-M_alt 'P 4/m m m'
_space_group_IT_number 123
_space_group_name_Hall '-P 4 2'
loop_
_atom_site_label
_atom_site_type_symbol
_atom_site_fract_x
_atom_site_fract_y
_atom_site_fract_z
Rb1 Rb 0.000 0.000 0.000
P1 P 0.500 0.500 0.500
S1 S 0.000 0.500 0.500
Cl1 Cl 0.500 0.500 0.000
```

# 5
Entry from Alexandria via LeMat-Bulk: crystalline Rb5PS4Cl2 at its relaxed geometry (PBE-GGA).

**Electronic total energy**: -91.3 eV for the cell shown
**Mass density**: 2.53 g/cm³
**Size of the total moment**: 0.0 Bohr magnetons per cell

CIF file:
```
data_Rb5PS4Cl2
_cell_length_a 9.750
_cell_length_b 11.191
_cell_length_c 7.907
_cell_angle_alpha 90.00
_cell_angle_beta 90.00
_cell_angle_gamma 90.00
_space_group_name_H-M_alt 'A m m 2'
_space_group_IT_number 38
_space_group_name_Hall 'A 2 -2'
loop_
_atom_site_label
_atom_site_type_symbol
_atom_site_fract_x
_atom_site_fract_y
_atom_site_fract_z
Rb1 Rb 0.000 0.000 0.000
Rb2 Rb 0.265 0.196 0.494
P1 P 0.500 0.000 0.964
S1 S 0.328 0.000 0.117
S2 S 0.500 0.148 0.808
Cl1 Cl 0.000 0.237 0.746
```

# 6
Entry from Alexandria via LeMat-Bulk: crystalline RbPS2Cl at its relaxed geometry (PBE-GGA).

**Distance to the lowest polymorph of the same formula**: 7.91 eV/f.u.
**Electronic total energy**: -10.6 eV for the cell shown
**Mass density**: 1.30 g/cm³
**Size of the total moment**: 1.0 Bohr magnetons per cell

CIF file:
```
data_RbPS2Cl
_cell_length_a 6.722
_cell_length_b 6.722
_cell_length_c 6.087
_cell_angle_alpha 90.00
_cell_angle_beta 90.00
_cell_angle_gamma 90.00
_space_group_name_H-M_alt 'P 4/m m m'
_space_group_IT_number 123
_space_group_name_Hall '-P 4 2'
loop_
_atom_site_label
_atom_site_type_symbol
_atom_site_fract_x
_atom_site_fract_y
_atom_site_fract_z
Rb1 Rb 0.000 0.000 0.000
P1 P 0.500 0.500 0.500
S1 S 0.000 0.500 0.000
Cl1 Cl 0.000 0.000 0.500
```